Entry 1:
# Nd2ErLu PBE relaxed
# Raw total energy in eV/atom: -4.631
# Energy relative to the elements in eV per atom: 0.02
data_Nd2ErLu
_symmetry_space_group_name_H-M 'P 4/m m m'
_symmetry_Int_Tables_number 123
_symmetry_space_group_name_Hall '-P 4 2'
_cell_length_a 3.6082
_cell_length_b 3.6082
_cell_length_c 9.9750
_cell_angle_alpha 90.00
_cell_angle_beta 90.00
_cell_angle_gamma 90.00
loop_
_atom_site_label
_atom_site_type_symbol
_atom_site_fract_x
_atom_site_fract_y
_atom_site_fract_z
Nd1 Nd 0.0000 0.0000 0.2483
Er1 Er 0.5000 0.5000 0.5000
Lu1 Lu 0.5000 0.5000 0.0000

---

Entry 2:
# Ho3Ni8Pt PBE relaxed
# Raw total energy in eV/atom: -5.972
# Energy relative to the elements in eV per atom: -0.47
data_Ho3Ni8Pt
_symmetry_space_group_name_H-M 'R 3 m'
_symmetry_Int_Tables_number 160
_symmetry_space_group_name_Hall 'R 3 -2"'
_cell_length_a 4.9712
_cell_length_b 4.9712
_cell_length_c 24.4224
_cell_angle_alpha 90.00
_cell_angle_beta 90.00
_cell_angle_gamma 120.00
loop_
_atom_site_label
_atom_site_type_symbol
_atom_site_fract_x
_atom_site_fract_y
_atom_site_fract_z
Ho1 Ho 0.0000 0.0000 0.0000
Ho2 Ho 0.0000 0.0000 0.1310
Ho3 Ho 0.0000 0.0000 0.5189
Ni1 Ni 0.0000 0.0000 0.3204
Ni2 Ni 0.0000 0.0000 0.8201
Ni3 Ni 0.1675 0.3350 0.4029
Ni4 Ni 0.1684 0.3368 0.9034
Pt1 Pt 0.0000 0.0000 0.6380

---

Entry 3:
# Ca2CeSmP4 PBE relaxed
# Raw total energy in eV/atom: -5.773
# Energy relative to the elements in eV per atom: -1.24
data_Ca2CeSmP4
_symmetry_space_group_name_H-M 'P 1 2/m 1'
_symmetry_Int_Tables_number 10
_cell_length_a 7.0902
_cell_length_b 4.1396
_cell_length_c 7.1779
_cell_angle_alpha 90.00
_cell_angle_beta 109.80
_cell_angle_gamma 90.00
loop_
_symmetry_equiv_pos_as_xyz
'x,y,z'
'-x,-y,-z'
'-x,y,-z'
'x,-y,z'
loop_
_atom_site_label
_atom_site_type_symbol
_atom_site_fract_x
_atom_site_fract_y
_atom_site_fract_z
Ca1 Ca 0.0000 0.0000 0.0000
Ca2 Ca 0.0000 0.5000 0.5000
Ce1 Ce 0.5000 0.0000 0.5000
Sm1 Sm 0.5000 0.5000 0.0000
P1 P 0.2613 0.0000 0.7500
P2 P 0.2652 0.5000 0.2593

---

- Which of these has the lowest energy relative to the elements?
  Ca2CeSmP4